[1]
Compound: Sc2TaNi
Source: Alexandria via LeMat-Bulk
Functional: PBE
Structure: relaxed

Cell: 4.7155 4.7155 4.7155 Å, 60.00 60.00 60.00°
Atoms (fractional coordinates):
Sc 0.7500 0.7500 0.7500
Sc 0.2500 0.2500 0.2500
Ta 0.5000 0.5000 0.5000
Ni 0.0000 0.0000 0.0000

Values from the calculation:
Size of the total moment ... 2.7 μB/cell
Formation energy from the elements ... 199 meV per atom
Crystal system ... cubic


[2]
Compound: ScTaNi2
Source: Alexandria via LeMat-Bulk
Functional: PBE
Structure: relaxed

Cell: 3.1757 3.1757 6.1155 Å, 90.00 90.00 90.00°
Atoms (fractional coordinates):
Ni 0.5000 0.5000 0.2229
Ni 0.0000 0.0000 0.0076
Sc 0.0000 0.0000 0.4668
Ta 0.5000 0.5000 0.8027

Values from the calculation:
Size of the total moment ... 0.0 μB/cell
Formation energy from the elements ... -161 meV per atom
Crystal system ... tetragonal


[3]
Compound: Sc2TaNi
Source: Alexandria via LeMat-Bulk
Functional: PBE
Structure: relaxed

Cell: 4.6510 4.6510 4.6510 Å, 60.00 60.00 60.00°
Atoms (fractional coordinates):
Ta 0.2500 0.2500 0.2500
Ni 0.5000 0.5000 0.5000
Sc 0.0000 0.0000 0.0000
Sc 0.7500 0.7500 0.7500

Values from the calculation:
Size of the total moment ... 0.0 μB/cell
Formation energy from the elements ... 222 meV per atom
Crystal system ... cubic


[4]
Compound: ScTaNi2
Source: Alexandria via LeMat-Bulk
Functional: PBE
Structure: relaxed

Cell: 2.8357 5.8982 5.0927 Å, 47.71 90.00 90.00°
Atoms (fractional coordinates):
Ni 0.0000 0.0000 0.0000
Ni 0.5000 0.5000 0.0000
Sc 0.5000 0.5000 0.5000
Ta 0.0000 0.0000 0.5000

Values from the calculation:
Size of the total moment ... 0.0 μB/cell
Formation energy from the elements ... -5 meV per atom
Crystal system ... monoclinic


[5]
Compound: ScTa2Ni
Source: Alexandria via LeMat-Bulk
Functional: PBE
Structure: relaxed

Cell: 9.4510 9.4510 9.4510 Å, 17.99 17.99 17.99°
Atoms (fractional coordinates):
Ta 0.9911 0.9911 0.9911
Ta 0.5089 0.5089 0.5089
Ni 0.2500 0.2500 0.2500
Sc 0.7500 0.7500 0.7500

Values from the calculation:
Size of the total moment ... 0.0 μB/cell
Formation energy from the elements ... 186 meV per atom
Crystal system ... trigonal


[6]
Compound: ScTaNi4
Source: Alexandria via LeMat-Bulk
Functional: PBE
Structure: relaxed

Cell: 4.8359 4.8359 4.8359 Å, 60.00 60.00 60.00°
Atoms (fractional coordinates):
Ni 0.3750 0.3750 0.3750
Ni 0.8751 0.3750 0.3750
Ni 0.3750 0.8751 0.3750
Ni 0.3750 0.3750 0.8751
Sc 0.7500 0.7500 0.7500
Ta 0.0000 0.0000 0.0000

Values from the calculation:
Size of the total moment ... 0.0 μB/cell
Formation energy from the elements ... -326 meV per atom
Crystal system ... cubic


[7]
Compound: ScTa2Ni2
Source: Alexandria via LeMat-Bulk
Functional: PBE
Structure: relaxed

Cell: 4.4217 4.4217 5.6652 Å, 67.03 67.03 90.00°
Atoms (fractional coordinates):
Ni 0.7500 0.2500 0.5000
Ni 0.2500 0.7500 0.5000
Sc 0.0000 0.0000 0.0000
Ta 0.3544 0.3544 0.2912
Ta 0.6456 0.6456 0.7088

Values from the calculation:
Size of the total moment ... 0.0 μB/cell
Formation energy from the elements ... 268 meV per atom
Crystal system ... tetragonal


[8]
Compound: ScTaNi4
Source: Alexandria via LeMat-Bulk
Functional: PBE
Structure: relaxed

Cell: 2.7948 7.4100 4.1687 Å, 90.00 90.00 90.00°
Atoms (fractional coordinates):
Ni 0.0000 0.8097 0.4999
Ni 0.0000 0.1903 0.5001
Ni 0.5000 0.2899 0.0001
Ni 0.5000 0.7101 0.9999
Ta 0.0000 0.0000 0.0000
Sc 0.5000 0.5000 0.5000

Values from the calculation:
Size of the total moment ... 0.0 μB/cell
Formation energy from the elements ... -52 meV per atom
Crystal system ... orthorhombic


[9]
Compound: ScTaNi2
Source: Alexandria via LeMat-Bulk
Functional: PBE
Structure: relaxed

Cell: 4.3383 4.3383 4.3383 Å, 60.00 60.00 60.00°
Atoms (fractional coordinates):
Ni 0.2500 0.2500 0.2500
Ni 0.0000 0.0000 0.0000
Sc 0.5000 0.5000 0.5000
Ta 0.7500 0.7500 0.7500

Values from the calculation:
Size of the total moment ... 0.0 μB/cell
Formation energy from the elements ... -18 meV per atom
Crystal system ... cubic


[10]
Compound: ScTaNi2
Source: Alexandria via LeMat-Bulk
Functional: PBE
Structure: relaxed

Cell: 5.4792 5.4792 5.4792 Å, 148.88 134.02 56.57°
Atoms (fractional coordinates):
Sc 0.5083 0.5083 0.0000
Ni 0.9854 0.9854 0.0000
Ni 0.7774 0.2774 0.5000
Ta 0.2289 0.7289 0.5000

Values from the calculation:
Size of the total moment ... 0.0 μB/cell
Formation energy from the elements ... -140 meV per atom
Crystal system ... orthorhombic


[11]
Compound: ScTa2TiNi
Source: Alexandria via LeMat-Bulk
Functional: PBE
Structure: relaxed

Cell: 4.8001 4.2501 4.8001 Å, 90.00 90.00 90.00°
Atoms (fractional coordinates):
Sc 0.0000 0.0000 0.0000
Ti 0.5000 0.5000 0.5000
Ta 0.5000 0.0000 0.0000
Ta 0.0000 0.0000 0.5000
Ni 0.0000 0.5000 0.0000

Values from the calculation:
Size of the total moment ... 0.0 μB/cell
Formation energy from the elements ... 1484 meV per atom
Crystal system ... tetragonal


[12]
Compound: ScTaTlNi2
Source: Alexandria via LeMat-Bulk
Functional: PBE
Structure: relaxed

Cell: 4.6479 5.1384 4.6479 Å, 90.00 90.00 90.00°
Atoms (fractional coordinates):
Tl 0.0000 0.0000 0.0000
Ta 0.5000 0.5000 0.5000
Ni 0.5000 0.0000 0.0000
Ni 0.0000 0.0000 0.5000
Sc 0.0000 0.5000 0.0000

Values from the calculation:
Size of the total moment ... 2.0 μB/cell
Formation energy from the elements ... 1478 meV per atom
Crystal system ... tetragonal